Entry from Alexandria: a relaxed In2Cu2Rh crystal (PBE-GGA).

The structure belongs to space group P4/mbm (No. 127); the cell edges are 7.089, 7.089 and 3.247 Å and the angles 90.00°, 90.00° and 90.00°. The distinct sites, in fractional coordinates, are In at (0.179, 0.321, 0.000), Cu at (0.122, 0.622, 0.500) and Rh at (0.000, 0.000, 0.500).

The formation enthalpy at 0 K is 2.3 kJ per mole of atoms. The calculation puts the density of states at the Fermi level at 4.19 states/eV per cell.

---

Entry from Alexandria: a relaxed KGaGe crystal (PBE-GGA).

The structure belongs to space group Cmcm (No. 63); the cell edges are 6.889, 8.787 and 6.290 Å and the angles 90.00°, 90.00° and 90.00°. The distinct sites, in fractional coordinates, are K at (0.000, 0.127, 0.250), Ga at (0.000, 0.500, 0.000) and Ge at (0.000, 0.290, 0.750).

The formation enthalpy at 0 K is 4.6 kJ per mole of atoms. The calculation puts the density of states at the Fermi level at 3.15 states/eV per cell.

---

Entry from Alexandria: a relaxed Pr2HoAg2Sn2 crystal (PBE-GGA).

The structure belongs to space group R-3m (No. 166, hexagonal axes); the cell edges are 4.8197, 4.8197 and 28.2042 Å and the angles 90.00°, 90.00° and 120.00°. The distinct sites, in fractional coordinates, are Pr at (0.0000, 0.0000, 0.1264), Ho at (0.0000, 0.0000, 0.0000), Ag at (0.0000, 0.0000, 0.3884) and Sn at (0.0000, 0.0000, 0.2659).

The formation enthalpy at 0 K is -39.2 kJ per mole of atoms. The calculation puts the density of states at the Fermi level at 11.81 states/eV per cell.

---

Entry from Alexandria: a relaxed Sc2MnMoBr crystal (PBE-GGA).

The structure belongs to space group P4/mmm (No. 123); the cell edges are 5.275, 5.275 and 4.463 Å and the angles 90.00°, 90.00° and 90.00°. The distinct sites, in fractional coordinates, are Sc at (0.000, 0.500, 0.000), Mn at (0.000, 0.000, 0.500), Mo at (0.000, 0.000, 0.000) and Br at (0.500, 0.500, 0.500).

The calculation puts the density of states at the Fermi level at 4.15 states/eV per cell. The value obtained for the energy relative to the elements, uncorrected is 0.522 eV/atom.

---

Entry from Alexandria: a relaxed Ba2TmSb4Pd3 crystal (PBE-GGA).

The structure belongs to space group P-4m2 (No. 115); the cell edges are 4.745, 4.745 and 11.922 Å and the angles 90.00°, 90.00° and 90.00°. The distinct sites, in fractional coordinates, are Ba at (0.000, 0.500, 0.237), Tm at (0.000, 0.000, 0.500), Sb at (0.000, 0.000, 0.000), Sb at (0.000, 0.500, 0.648), Sb at (0.500, 0.500, 0.000), Pd at (0.000, 0.500, 0.883) and Pd at (0.500, 0.500, 0.500).

The calculation puts the density of states at the Fermi level at 4.32 states/eV per cell. The value obtained for the energy relative to the elements, uncorrected is -0.863 eV/atom.

---

Entry from Alexandria: a relaxed Nd2TmSn9 crystal (PBE-GGA).

The structure belongs to space group P4/mmm (No. 123); the cell edges are 4.819, 4.819 and 13.844 Å and the angles 90.00°, 90.00° and 90.00°. The distinct sites, in fractional coordinates, are Nd at (0.000, 0.000, 0.169), Tm at (0.000, 0.000, 0.500), Sn at (0.000, 0.500, 0.000), Sn at (0.000, 0.500, 0.339), Sn at (0.500, 0.500, 0.169) and Sn at (0.500, 0.500, 0.500).

The formation enthalpy at 0 K is -43.8 kJ per mole of atoms. The calculation puts the density of states at the Fermi level at 6.32 states/eV per cell.

---

Entry from Alexandria: a relaxed Tl15Hg4Au crystal (PBE-GGA).

The structure belongs to space group P4/mmm (No. 123); the cell edges are 4.845, 4.845 and 24.726 Å and the angles 90.00°, 90.00° and 90.00°. The distinct sites, in fractional coordinates, are Tl at (0.000, 0.000, 0.000), Tl at (0.000, 0.000, 0.194), Tl at (0.000, 0.000, 0.399), Tl at (0.000, 0.500, 0.091), Tl at (0.000, 0.500, 0.297), Tl at (0.000, 0.500, 0.500), Hg at (0.500, 0.500, 0.194), Hg at (0.500, 0.500, 0.399) and Au at (0.500, 0.500, 0.000).

The formation enthalpy at 0 K is 1.7 kJ per mole of atoms. The calculation puts the density of states at the Fermi level at 10.21 states/eV per cell.

---

Entry from Alexandria: a relaxed PmNd3Al8 crystal (PBE-GGA).

The structure belongs to space group P3m1 (No. 156); the cell edges are 5.6683, 5.6683 and 9.3450 Å and the angles 90.00°, 90.00° and 120.00°. The distinct sites, in fractional coordinates, are Pm at (0.0000, 0.0000, 0.0000), Nd at (0.0000, 0.0000, 0.3637), Nd at (0.6667, 0.3333, 0.5001), Nd at (0.6667, 0.3333, 0.8639), Al at (0.1622, 0.3244, 0.6824), Al at (0.3333, 0.6667, 0.4316), Al at (0.3333, 0.6667, 0.9321) and Al at (0.5044, 0.0088, 0.1812).

The formation enthalpy at 0 K is -47.3 kJ per mole of atoms. The calculation puts the density of states at the Fermi level at 6.27 states/eV per cell. The energy above the most stable polymorph in this dataset is 12 meV/atom.